[1]
GGA-PBE YPBr3, relaxed; electronic total energy = -0.150 Ha/atom; crystal system = cubic
1.0
-4.686 -0.962 -2.958
-0.998 -4.600 3.078
-2.946 3.089 3.662
Br P Y
3 1 1
direct
0.000 0.500 0.000
0.500 0.000 0.000
0.000 0.000 0.500
0.500 0.500 0.500
0.000 0.000 0.000

***

[2]
GGA-PBE YP3Br, relaxed; electronic total energy = -0.151 Ha/atom; crystal system = cubic
1.0
5.324 0.000 0.000
0.000 5.324 0.000
0.000 0.000 5.324
P Y Br
3 1 1
direct
0.000 0.500 0.000
0.500 0.000 0.000
0.000 0.000 0.500
0.000 0.000 0.000
0.500 0.500 0.500

***

[3]
GGA-PBE YPBr, relaxed; electronic total energy = -0.176 Ha/atom; crystal system = cubic
1.0
-3.827 -2.398 1.468
-2.808 -2.158 -3.164
-0.076 -4.741 -0.262
Y P Br
1 1 1
direct
0.500 0.500 0.500
0.000 0.000 0.000
0.250 0.250 0.250

***

[4]
GGA-PBE YP3Br, relaxed; electronic total energy = -0.157 Ha/atom; crystal system = cubic
1.0
-3.896 0.058 2.809
2.522 -2.046 3.540
1.239 4.346 1.629
P Br Y
3 1 1
direct
0.500 0.000 0.000
0.000 0.500 0.000
0.000 0.000 0.500
0.000 0.000 0.000
0.500 0.500 0.500

***

[5]
GGA-PBE YPBr, relaxed; electronic total energy = -0.199 Ha/atom; crystal system = tetragonal
1.0
-0.788 5.546 2.072
-3.005 4.423 -2.661
-0.343 -5.764 1.528
Br P Y
1 1 1
direct
0.011 0.011 0.000
0.282 0.282 0.000
0.707 0.707 0.000

***

[6]
GGA-PBE ZnP2Br, relaxed; electronic total energy = -0.106 Ha/atom; crystal system = trigonal
1.0
12.164 0.011 0.006
11.806 2.926 0.006
11.806 1.447 2.544
P Zn Br
2 1 1
direct
0.530 0.530 0.530
0.970 0.970 0.970
0.250 0.250 0.250
0.750 0.750 0.750

***

[7]
GGA-PBE ZnP2Br, relaxed; electronic total energy = -0.130 Ha/atom; crystal system = monoclinic
1.0
5.986 0.001 -0.003
4.988 3.310 -0.003
-0.271 -0.082 4.414
P Zn Br
2 1 1
direct
0.960 0.960 0.856
0.540 0.540 0.644
0.750 0.750 0.750
0.250 0.250 0.250

***

[8]
GGA-PBE ZnP2Br, relaxed; electronic total energy = -0.114 Ha/atom; crystal system = tetragonal
1.0
3.676 0.000 0.000
0.000 3.676 0.000
0.000 0.000 6.038
Br P Zn
1 2 1
direct
0.500 0.500 0.750
0.000 0.000 0.078
0.000 0.000 0.422
0.500 0.500 0.250

***

[9]
GGA-PBE ZnP2Br, relaxed; electronic total energy = -0.124 Ha/atom; crystal system = monoclinic
1.0
-3.217 -0.232 -2.010
0.456 -3.981 -0.271
-2.771 -2.085 4.675
P Br Zn
2 1 1
direct
0.000 0.527 0.390
0.000 0.973 0.110
0.500 0.750 0.750
0.500 0.250 0.250

***

[10]
GGA-PBE ZnP2Br, relaxed; electronic total energy = -0.097 Ha/atom; crystal system = tetragonal
1.0
4.877 0.000 0.000
0.000 4.877 0.000
0.000 0.000 3.050
Br P Zn
1 2 1
direct
0.000 0.500 0.500
0.000 0.000 0.000
0.500 0.500 0.000
0.500 0.000 0.500

***

[11]
GGA-PBE ZnP2Br, relaxed; electronic total energy = -0.129 Ha/atom; crystal system = monoclinic
1.0
-0.654 -1.592 -3.102
-1.179 -3.335 -0.266
-8.682 1.804 -0.500
Zn P Br
1 2 1
direct
0.529 0.529 0.525
0.685 0.685 0.884
0.027 0.027 0.748
0.259 0.259 0.342

***

[12]
GGA-PBE ZnP2Br, relaxed; electronic total energy = -0.101 Ha/atom; crystal system = tetragonal
1.0
-3.763 -2.708 0.461
2.713 -3.501 1.445
0.175 4.120 2.166
Zn P Br
1 2 1
direct
0.500 0.500 0.000
0.250 0.750 0.500
0.000 0.000 0.000
0.750 0.250 0.500

***

[13]
GGA-PBE ZnPBr, relaxed; electronic total energy = -0.115 Ha/atom; crystal system = triclinic
1.0
-1.755 -3.833 0.219
5.302 -2.588 -2.742
5.579 -2.299 4.414
Br Zn P
2 2 2
direct
0.501 0.175 0.663
0.499 0.825 0.337
0.500 0.535 0.710
0.500 0.465 0.290
0.000 0.464 0.148
0.000 0.536 0.852

***

[14]
GGA-PBE ZnPBr, relaxed; electronic total energy = -0.092 Ha/atom; crystal system = orthorhombic
1.0
-4.596 -4.949 1.304
-4.590 -2.442 3.768
-2.588 -0.087 -2.378
Zn P Br
1 1 1
direct
0.328 0.328 0.672
0.696 0.696 0.304
0.976 0.976 0.024

***

[15]
GGA-PBE ZnPBr, relaxed; electronic total energy = -0.095 Ha/atom; crystal system = trigonal
1.0
2.026 -3.509 0.000
2.026 3.509 0.000
0.000 0.000 4.794
Br Zn P
1 1 1
direct
0.000 0.000 0.999
0.333 0.667 0.502
0.667 0.333 0.498

***

[16]
GGA-PBE ZnP2Br, relaxed; electronic total energy = -0.127 Ha/atom; crystal system = tetragonal
1.0
-1.232 0.130 -3.076
2.647 -1.648 -1.129
-4.088 -7.473 1.322
P Zn Br
2 1 1
direct
0.500 0.500 0.143
0.000 0.000 0.223
0.000 0.000 0.491
0.500 0.500 0.644

***

[17]
GGA-PBE ZnP2Br, relaxed; electronic total energy = -0.094 Ha/atom; crystal system = cubic
1.0
0.000 3.311 3.311
3.311 0.000 3.311
3.311 3.311 0.000
Br P Zn
1 2 1
direct
0.500 0.500 0.500
0.750 0.750 0.750
0.250 0.250 0.250
0.000 0.000 0.000

***

[18]
GGA-PBE ZnPBr, relaxed; electronic total energy = -0.081 Ha/atom; crystal system = cubic
1.0
-1.621 -3.612 2.196
0.727 -0.461 4.445
-3.431 0.475 2.916
P Zn Br
1 1 1
direct
0.500 0.500 0.500
0.750 0.750 0.750
0.000 0.000 0.000

***

[19]
GGA-PBE ZnP2Br, relaxed; electronic total energy = -0.102 Ha/atom; crystal system = orthorhombic
1.0
-2.166 0.910 2.101
-3.616 -2.472 -2.657
0.772 -3.718 2.408
P Br Zn
2 1 1
direct
0.000 0.000 0.000
0.500 0.500 0.000
0.000 0.500 0.500
0.500 0.000 0.500

***

[20]
GGA-PBE Zn3PBr, relaxed; electronic total energy = -0.046 Ha/atom; crystal system = cubic
1.0
4.999 0.000 0.000
0.000 4.999 0.000
0.000 0.000 4.999
Zn P Br
3 1 1
direct
0.000 0.000 0.500
0.500 0.000 0.000
0.000 0.500 0.000
0.500 0.500 0.500
0.000 0.000 0.000

***

[21]
GGA-PBE ZnPBr, relaxed; electronic total energy = -0.100 Ha/atom; crystal system = tetragonal
1.0
3.596 2.296 4.276
4.133 4.392 -0.345
-5.652 -1.617 -1.390
Br P Zn
1 1 1
direct
0.019 0.019 0.000
0.232 0.232 0.000
0.749 0.749 0.000

***

[22]
GGA-PBE Zn4PBr, relaxed; electronic total energy = -0.063 Ha/atom; crystal system = cubic
1.0
0.000 3.783 3.783
3.783 0.000 3.783
3.783 3.783 0.000
Zn P Br
4 1 1
direct
0.374 0.374 0.374
0.374 0.374 0.878
0.878 0.374 0.374
0.374 0.878 0.374
0.000 0.000 0.000
0.750 0.750 0.750

***

[23]
GGA-PBE ZnP4Br, relaxed; electronic total energy = -0.140 Ha/atom; crystal system = cubic
1.0
0.000 4.200 4.200
4.200 0.000 4.200
4.200 4.200 0.000
Br P Zn
1 4 1
direct
0.000 0.000 0.000
0.343 0.343 0.343
0.971 0.343 0.343
0.343 0.971 0.343
0.343 0.343 0.971
0.750 0.750 0.750

***

[24]
GGA-PBE Zn3PBr, relaxed; electronic total energy = -0.080 Ha/atom; crystal system = cubic
1.0
4.857 0.000 0.000
0.000 4.857 0.000
0.000 0.000 4.857
Br P Zn
1 1 3
direct
0.500 0.500 0.500
0.000 0.000 0.000
0.000 0.000 0.500
0.000 0.500 0.000
0.500 0.000 0.000

***

[25]
GGA-PBE ZnP2Br, relaxed; electronic total energy = -0.104 Ha/atom; crystal system = tetragonal
1.0
5.320 0.000 0.000
0.000 5.320 0.000
2.660 2.660 6.808
Br Zn P
2 2 4
direct
0.750 0.250 0.500
0.000 0.000 0.000
0.500 0.500 0.000
0.250 0.750 0.500
0.549 0.125 0.250
0.375 0.451 0.750
0.201 0.625 0.250
0.875 0.799 0.750

***

[26]
GGA-PBE Zn3PBr2, relaxed; electronic total energy = -0.088 Ha/atom; crystal system = monoclinic
1.0
-4.408 -5.714 -2.247
9.228 -1.178 -2.392
5.413 -4.961 1.996
Zn Br P
6 4 2
direct
0.918 0.752 0.733
0.167 0.248 0.767
0.369 0.000 0.250
0.631 0.000 0.750
0.833 0.752 0.233
0.082 0.248 0.267
0.572 0.288 0.639
0.716 0.288 0.139
0.284 0.712 0.861
0.428 0.712 0.361
0.936 0.000 0.750
0.064 0.000 0.250

***

[27]
GGA-PBE ZnP2Br, relaxed; electronic total energy = -0.122 Ha/atom; crystal system = orthorhombic
1.0
6.552 -0.114 0.116
-0.125 6.551 -0.116
-0.755 -5.674 3.192
Zn Br P
1 1 2
direct
0.524 0.524 0.000
0.324 0.824 0.500
0.902 0.902 0.000
0.750 0.250 0.500

***

[28]
GGA-PBE ZnP2Br, relaxed; electronic total energy = -0.106 Ha/atom; crystal system = orthorhombic
1.0
7.267 -0.018 0.000
-5.514 4.733 0.000
0.000 0.000 2.498
P Zn Br
2 1 1
direct
0.500 0.500 0.000
0.000 0.000 0.000
0.500 0.000 0.500
0.000 0.500 0.500

***

[29]
GGA-PBE ZnP2Br, relaxed; electronic total energy = -0.122 Ha/atom; crystal system = orthorhombic
1.0
-4.215 -2.776 -0.605
4.189 0.324 2.861
-4.310 5.299 5.710
P Br Zn
2 1 1
direct
0.500 0.500 0.247
0.000 0.000 0.094
0.500 0.500 0.681
0.000 0.000 0.478